(1)
4
Lattice="-0.853 2.672 -1.112 -2.582 -0.179 1.551 2.785 2.961 4.977" Properties=species:S:1:pos:R:3 comment="FeSiP2 | Alexandria via LeMat-Bulk | PBE | relaxed" vol_a3_per_atom=14.62 dft_energy_ev_per_cell=-24.35 sg="No. 99" pbc="T T T"
Fe 0.318 3.411 3.857
P 2.521 2.680 4.505
P -0.753 2.272 1.943
Si 1.440 1.532 2.574

***

(2)
11
Lattice="-0.497 7.208 1.497 -4.888 1.679 -8.011 -9.193 -0.781 2.404" Properties=species:S:1:pos:R:3 comment="CePm2I8 | Alexandria via LeMat-Bulk | PBE | relaxed" vol_a3_per_atom=58.68 dft_energy_ev_per_cell=-41.17 sg="No. 12" pbc="T T T"
I -9.168 6.075 -2.355
I -11.550 2.381 -4.212
I -5.410 2.031 -1.756
I -3.027 5.725 0.101
I -7.554 5.103 1.897
I -4.983 6.572 -4.322
I -9.595 1.535 0.211
I -7.024 3.003 -6.008
Ce 0.000 0.000 0.000
Pm -2.881 2.752 -0.541
Pm -11.697 5.354 -3.570

***

(3)
15
Lattice="-0.767 8.722 -0.118 -1.528 -4.429 7.398 8.420 0.699 -3.027" Properties=species:S:1:pos:R:3 comment="Ac8PtRh3Au3 | Alexandria via LeMat-Bulk | PBE | relaxed" formation_energy_kcal_per_mol_atoms=-18.1 vol_a3_per_atom=32.82 dft_energy_ev_per_cell=-82.58 sg="No. 166" pbc="T T T"
Ac 1.337 0.158 2.961
Ac 4.788 4.834 1.292
Ac 4.407 -1.734 5.045
Ac 0.956 4.519 2.894
Ac 2.100 2.381 -0.733
Ac 4.025 2.611 4.986
Ac 5.169 0.473 1.359
Ac 1.718 6.725 -0.792
Au -1.147 2.146 3.640
Au -0.764 -2.215 3.699
Au 0.000 0.000 0.000
Pt 4.210 0.350 -1.513
Rh 3.827 4.710 -1.572
Rh 3.446 -1.865 2.186
Rh 3.063 2.496 2.127